# 1
Density functional theory data (PBE-GGA) for crystalline Er2Th3Te8 at its relaxed geometry.

Lattice parameters (Å, degrees): 15.694 8.750 7.390 90.00 106.64 90.00
Space group C2/m (No. 12)
Symmetry-distinct sites (fractional):
Er1 0.245 0.000 0.326
Th1 0.000 0.000 0.500
Th2 0.000 0.248 0.000
Te1 0.112 0.500 0.883
Te2 0.128 0.253 0.418
Te3 0.132 0.000 0.914

For the formation energy without anion corrections, the calculation gives -1.13 eV per atom. The total magnetization comes out at 0.00 μB per formula unit.

# 2
Density functional theory data (PBE-GGA) for crystalline BaZn2Ni2 at its relaxed geometry.

Lattice parameters (Å, degrees): 6.167 6.496 5.871 90.00 116.01 90.00
Space group C2/m (No. 12)
Symmetry-distinct sites (fractional):
Ba1 0.000 0.000 0.000
Zn1 0.127 0.500 0.351
Ni1 0.000 0.194 0.500

The total magnetization comes out at 0.00 μB per formula unit. The calculated formation energy comes out at -0.0919 eV per atom.

# 3
Density functional theory data (PBE-GGA) for crystalline SrAg2Ir at its relaxed geometry.

Lattice parameters (Å, degrees): 3.595 3.595 6.611 90.00 90.00 90.00
Space group P4/mmm (No. 123)
Symmetry-distinct sites (fractional):
Sr1 0.000 0.000 0.000
Ag1 0.500 0.500 0.297
Ir1 0.000 0.000 0.500

The total magnetization comes out at 0.00 μB per formula unit. The calculated formation energy comes out at 0.3130 eV per atom.

# 4
Density functional theory data (PBE-GGA) for crystalline CsBi4Te6 at its relaxed geometry.

Lattice parameters (Å, degrees): 4.774 14.994 23.806 90.00 90.00 90.00
Space group Cmcm (No. 63)
Symmetry-distinct sites (fractional):
Cs1 0.000 0.150 0.250
Bi1 0.000 0.091 0.632
Bi2 0.000 0.363 0.537
Te1 0.000 0.000 0.000
Te2 0.000 0.161 0.750
Te3 0.000 0.258 0.082
Te4 0.000 0.468 0.649

For the formation energy without anion corrections, the calculation gives -0.32 eV per atom. The total magnetization comes out at 0.00 μB per formula unit.

Looking at Fermi-level density of states for the records above, in order, we have 15.20 7.11 2.27 6.54 states/eV per cell.
Looking at DFT total energy for the records above, in order, we have -5.48 -3.30 -3.75 -3.52 eV per atom.